DFT (GGA-PBE) results for crystalline SrMg2SiAu4 at its relaxed geometry.

The value obtained for the uncorrected formation energy is -434 meV per atom. The crystal system is trigonal.

Lattice parameters (Å, degrees): 4.4569 4.4569 10.2566 77.45 77.45 60.00
Atoms (fractional coordinates):
1 Sr 0.0000 0.0000 0.0000
2 Si 0.5000 0.5000 0.5000
3 Au 0.4021 0.4021 0.7936
4 Au 0.5979 0.5979 0.2064
5 Au 0.1357 0.1357 0.5928
6 Mg 0.7640 0.7640 0.7081
7 Au 0.8643 0.8643 0.4072
8 Mg 0.2360 0.2360 0.2919

---

DFT (GGA-PBE) results for crystalline TbMgSiAu at its relaxed geometry.

The value obtained for the uncorrected formation energy is -540 meV per atom. The crystal system is cubic.

Lattice parameters (Å, degrees): 4.8838 4.8838 4.8838 60.00 60.00 60.00
Atoms (fractional coordinates):
1 Au 0.2500 0.2500 0.2500
2 Si 0.7500 0.7500 0.7500
3 Mg 0.0000 0.0000 0.0000
4 Tb 0.5000 0.5000 0.5000

---

DFT (GGA-PBE) results for crystalline Mg2SiTe4Au at its relaxed geometry.

The value obtained for the uncorrected formation energy is -334 meV per atom. The crystal system is orthorhombic.

Lattice parameters (Å, degrees): 6.5923 6.5923 7.5165 113.87 113.87 94.44
Atoms (fractional coordinates):
1 Mg 0.7529 0.2529 0.5058
2 Mg 0.2529 0.7529 0.5058
3 Te 0.3632 0.8617 0.2248
4 Te 0.8617 0.3632 0.2248
5 Te 0.1416 0.1416 0.7553
6 Te 0.6137 0.6137 0.7553
7 Au 0.0035 0.0035 0.0071
8 Si 0.5108 0.5108 0.0216